Here is crystalline LiErHgPt at its relaxed geometry from Alexandria via LeMat-Bulk. Energies are from PBE.

Cell: 4.815 4.815 4.815 Å, 60.00 60.00 60.00°
Atoms (fractional coordinates):
Er 0.000 0.000 0.000
Li 0.500 0.500 0.500
Pt 0.750 0.750 0.750
Hg 0.250 0.250 0.250

Summary:
* mass density: 11985 kg/m3
* total DFT energy (no corrections): -15.436 eV/f.u.
* energy of formation from the pure elements: -2.6 eV per formula unit
* crystal system: cubic

***

Here is crystalline LiEr2PuHg4 at its relaxed geometry from Alexandria via LeMat-Bulk. Energies are from PBE.

Cell: 5.143 5.143 9.006 Å, 73.41 73.41 60.00°
Atoms (fractional coordinates):
Hg 0.872 0.872 0.383
Hg 0.618 0.618 0.145
Hg 0.382 0.382 0.855
Hg 0.128 0.128 0.617
Er 0.752 0.752 0.744
Er 0.248 0.248 0.256
Pu 0.000 0.000 0.000
Li 0.500 0.500 0.500

Summary:
* mass density: 11832 kg/m3
* total DFT energy (no corrections): -29.281 eV/f.u.
* energy of formation from the pure elements: -2.7 eV per formula unit
* crystal system: trigonal

***

Here is crystalline LiErPuHg at its relaxed geometry from Alexandria via LeMat-Bulk. Energies are from PBE.

Cell: 5.231 5.231 5.231 Å, 60.00 60.00 60.00°
Atoms (fractional coordinates):
Er 0.250 0.250 0.250
Li 0.500 0.500 0.500
Pu 0.750 0.750 0.750
Hg 0.000 0.000 0.000

Summary:
* mass density: 10152 kg/m3
* total DFT energy (no corrections): -21.062 eV/f.u.
* energy of formation from the pure elements: 0.0 eV per formula unit
* crystal system: cubic